# 1
AcTlIr | PBE | relaxed

Results
Calculated total energy in eV/atom: -5.2416
Relative energy among the computed polymorphs in meV/atom: 328
M_tot in μB/cell: 0.00
Calculated formation energy in eV per atom: -0.13

Unit cell a=3.6484 b=3.6484 c=11.8712 alpha=90.00 beta=90.00 gamma=90.00
Positions (direct):
Ac 0.0000 0.0000 0.0000
Ac 0.5000 0.5000 0.5000
Tl 0.0000 0.0000 0.7219
Tl 0.5000 0.5000 0.2219
Ir 0.0000 0.0000 0.3539
Ir 0.5000 0.5000 0.8539


# 2
Ac7Tl3Ir2 | PBE | relaxed

Results
Calculated total energy in eV/atom: -4.8046
M_tot in μB/cell: 0.00
Calculated formation energy in eV per atom: -0.34

Unit cell a=14.2131 b=14.2131 c=5.7329 alpha=90.00 beta=90.00 gamma=156.39
Positions (direct):
Ac 0.0000 0.0000 0.0000
Ac 0.0942 0.9058 0.5000
Ac 0.2106 0.7894 0.0000
Ac 0.3898 0.6102 0.0000
Ac 0.6102 0.3898 0.0000
Ac 0.7894 0.2106 0.0000
Ac 0.9058 0.0942 0.5000
Tl 0.2969 0.7031 0.5000
Tl 0.5000 0.5000 0.5000
Tl 0.7031 0.2969 0.5000
Ir 0.1061 0.8939 0.0000
Ir 0.8939 0.1061 0.0000


# 3
Ac5Tl5Ir | PBE | relaxed

Results
Calculated total energy in eV/atom: -4.0714
M_tot in μB/cell: 0.00
Calculated formation energy in eV per atom: -0.32

Unit cell a=9.8240 b=9.8240 c=9.8240 alpha=146.28 beta=129.25 gamma=62.32
Positions (direct):
Ac 0.0000 0.0000 0.0000
Ac 0.0799 0.3550 0.7249
Ac 0.3700 0.6450 0.7249
Ac 0.6300 0.3550 0.2751
Ac 0.9201 0.6450 0.2751
Tl 0.2033 0.2033 0.0000
Tl 0.3506 0.8506 0.5000
Tl 0.5000 0.5000 0.0000
Tl 0.6494 0.1494 0.5000
Tl 0.7967 0.7967 0.0000
Ir 0.0000 0.5000 0.5000


# 4
Ac2TlIr | PBE | relaxed

Results
Calculated total energy in eV/atom: -5.1481
Relative energy among the computed polymorphs in meV/atom: 242
M_tot in μB/cell: 0.00
Calculated formation energy in eV per atom: -0.29

Unit cell a=7.8215 b=7.8215 c=7.8215 alpha=90.00 beta=90.00 gamma=90.00
Positions (direct):
Ac 0.2500 0.2500 0.2500
Ac 0.2500 0.2500 0.7500
Ac 0.2500 0.7500 0.2500
Ac 0.2500 0.7500 0.7500
Ac 0.7500 0.2500 0.2500
Ac 0.7500 0.2500 0.7500
Ac 0.7500 0.7500 0.2500
Ac 0.7500 0.7500 0.7500
Tl 0.0000 0.0000 0.0000
Tl 0.0000 0.5000 0.5000
Tl 0.5000 0.0000 0.5000
Tl 0.5000 0.5000 0.0000
Ir 0.0000 0.0000 0.5000
Ir 0.0000 0.5000 0.0000
Ir 0.5000 0.0000 0.0000
Ir 0.5000 0.5000 0.5000


# 5
Ac4TlIr | PBE | relaxed

Results
Calculated total energy in eV/atom: -4.8444
Relative energy among the computed polymorphs in meV/atom: 174
M_tot in μB/cell: 0.00
Calculated formation energy in eV per atom: -0.23

Unit cell a=5.3645 b=5.3645 c=7.9811 alpha=90.00 beta=90.00 gamma=90.00
Positions (direct):
Ac 0.0000 0.5000 0.2235
Ac 0.0000 0.5000 0.7765
Ac 0.5000 0.0000 0.2235
Ac 0.5000 0.0000 0.7765
Tl 0.0000 0.0000 0.5000
Ir 0.5000 0.5000 0.0000


# 6
Ac3TlIr | PBE | relaxed

Results
Calculated total energy in eV/atom: -5.2197
Relative energy among the computed polymorphs in meV/atom: 0
M_tot in μB/cell: 0.00
Calculated formation energy in eV per atom: -0.51

Unit cell a=10.1588 b=4.3892 c=16.4346 alpha=90.00 beta=90.00 gamma=90.00
Positions (direct):
Ac 0.0206 0.2500 0.1062
Ac 0.1662 0.2500 0.5038
Ac 0.2140 0.7500 0.2863
Ac 0.2860 0.2500 0.7863
Ac 0.3338 0.7500 0.0038
Ac 0.4794 0.7500 0.6062
Ac 0.5206 0.2500 0.3938
Ac 0.6662 0.2500 0.9962
Ac 0.7140 0.7500 0.2137
Ac 0.7860 0.2500 0.7137
Ac 0.8338 0.7500 0.4962
Ac 0.9794 0.7500 0.8938
Tl 0.0657 0.7500 0.6725
Tl 0.4343 0.2500 0.1725
Tl 0.5657 0.7500 0.8275
Tl 0.9343 0.2500 0.3275
Ir 0.1624 0.2500 0.9426
Ir 0.3376 0.7500 0.4426
Ir 0.6624 0.2500 0.5574
Ir 0.8376 0.7500 0.0574


# 7
Ac6Tl5Ir | PBE | relaxed

Results
Calculated total energy in eV/atom: -4.1414
Relative energy among the computed polymorphs in meV/atom: 10
M_tot in μB/cell: 0.00
Calculated formation energy in eV per atom: -0.36

Unit cell a=9.0518 b=9.0518 c=8.2034 alpha=90.00 beta=90.00 gamma=143.13
Positions (direct):
Ac 0.0011 0.0011 0.2247
Ac 0.3491 0.6497 0.7664
Ac 0.3503 0.6509 0.2336
Ac 0.6497 0.3491 0.7664
Ac 0.6509 0.3503 0.2336
Ac 0.9989 0.9989 0.7753
Tl 0.1771 0.8229 0.0000
Tl 0.1785 0.8215 0.5000
Tl 0.5000 0.5000 0.5000
Tl 0.8215 0.1785 0.5000
Tl 0.8229 0.1771 0.0000
Ir 0.5000 0.5000 0.0000


# 8
Ac12Tl5Ir3 | PBE | relaxed

Results
Calculated total energy in eV/atom: -4.2840
M_tot in μB/cell: 0.00
Calculated formation energy in eV per atom: 0.10

Unit cell a=16.2364 b=16.2364 c=16.2364 alpha=109.47 beta=109.47 gamma=109.47
Positions (direct):
Ac 0.0569 0.6280 0.3897
Ac 0.0569 0.9290 0.6672
Ac 0.0710 0.2383 0.1280
Ac 0.0710 0.3328 0.9431
Ac 0.1103 0.7383 0.6672
Ac 0.1103 0.8720 0.4431
Ac 0.1280 0.0710 0.2383
Ac 0.1280 0.5569 0.8897
Ac 0.1672 0.2383 0.6103
Ac 0.1672 0.4290 0.5569
Ac 0.2383 0.1280 0.0710
Ac 0.2383 0.6103 0.1672
Ac 0.2617 0.3328 0.8897
Ac 0.2617 0.4290 0.3720
Ac 0.3328 0.8897 0.2617
Ac 0.3328 0.9431 0.0710
Ac 0.3720 0.2617 0.4290
Ac 0.3720 0.6103 0.9431
Ac 0.3897 0.0569 0.6280
Ac 0.3897 0.8328 0.7617
Ac 0.4290 0.3720 0.2617
Ac 0.4290 0.5569 0.1672
Ac 0.4431 0.1103 0.8720
Ac 0.4431 0.8328 0.5710
Ac 0.5569 0.1672 0.4290
Ac 0.5569 0.8897 0.1280
Ac 0.5710 0.4431 0.8328
Ac 0.5710 0.6280 0.7383
Ac 0.6103 0.1672 0.2383
Ac 0.6103 0.9431 0.3720
Ac 0.6280 0.3897 0.0569
Ac 0.6280 0.7383 0.5710
Ac 0.6672 0.0569 0.9290
Ac 0.6672 0.1103 0.7383
Ac 0.7383 0.5710 0.6280
Ac 0.7383 0.6672 0.1103
Ac 0.7617 0.3897 0.8328
Ac 0.7617 0.8720 0.9290
Ac 0.8328 0.5710 0.4431
Ac 0.8328 0.7617 0.3897
Ac 0.8720 0.4431 0.1103
Ac 0.8720 0.9290 0.7617
Ac 0.8897 0.1280 0.5569
Ac 0.8897 0.2617 0.3328
Ac 0.9290 0.6672 0.0569
Ac 0.9290 0.7617 0.8720
Ac 0.9431 0.0710 0.3328
Ac 0.9431 0.3720 0.6103
Tl 0.0000 0.0000 0.0000
Tl 0.0000 0.0000 0.5000
Tl 0.0000 0.5000 0.0000
Tl 0.0000 0.5000 0.5000
Tl 0.1250 0.7500 0.8750
Tl 0.1250 0.8750 0.2500
Tl 0.2500 0.1250 0.8750
Tl 0.2500 0.6250 0.3750
Tl 0.3750 0.2500 0.6250
Tl 0.3750 0.6250 0.7500
Tl 0.5000 0.0000 0.0000
Tl 0.5000 0.0000 0.5000
Tl 0.5000 0.5000 0.0000
Tl 0.5000 0.5000 0.5000
Tl 0.6250 0.3750 0.2500
Tl 0.6250 0.7500 0.3750
Tl 0.7500 0.3750 0.6250
Tl 0.7500 0.8750 0.1250
Tl 0.8750 0.1250 0.7500
Tl 0.8750 0.2500 0.1250
Ir 0.1250 0.2500 0.3750
Ir 0.1250 0.3750 0.7500
Ir 0.2500 0.3750 0.1250
Ir 0.2500 0.8750 0.6250
Ir 0.3750 0.1250 0.2500
Ir 0.3750 0.7500 0.1250
Ir 0.6250 0.2500 0.8750
Ir 0.6250 0.8750 0.7500
Ir 0.7500 0.1250 0.3750
Ir 0.7500 0.6250 0.8750
Ir 0.8750 0.6250 0.2500
Ir 0.8750 0.7500 0.6250


# 9
Ac6Tl5Ir | PBE | relaxed

Results
Calculated total energy in eV/atom: -4.1510
Relative energy among the computed polymorphs in meV/atom: 0
M_tot in μB/cell: 0.00
Calculated formation energy in eV per atom: -0.37

Unit cell a=9.7261 b=9.7261 c=9.7261 alpha=147.08 beta=126.07 gamma=64.65
Positions (direct):
Ac 0.0715 0.3460 0.7255
Ac 0.2086 0.0000 0.2086
Ac 0.3794 0.6540 0.7255
Ac 0.6206 0.3460 0.2745
Ac 0.7914 0.0000 0.7914
Ac 0.9285 0.6540 0.2745
Tl 0.1927 0.1927 0.0000
Tl 0.3456 0.8456 0.5000
Tl 0.5000 0.5000 0.0000
Tl 0.6544 0.1544 0.5000
Tl 0.8073 0.8073 0.0000
Ir 0.0000 0.5000 0.5000


# 10
Ac3TlIr | PBE | relaxed

Results
Calculated total energy in eV/atom: -5.0788
Relative energy among the computed polymorphs in meV/atom: 141
M_tot in μB/cell: 0.00
Calculated formation energy in eV per atom: -0.37

Unit cell a=5.8224 b=5.8224 c=5.8224 alpha=90.00 beta=90.00 gamma=90.00
Positions (direct):
Ac 0.0000 0.0000 0.5000
Ac 0.0000 0.5000 0.0000
Ac 0.5000 0.0000 0.0000
Tl 0.5000 0.5000 0.5000
Ir 0.0000 0.0000 0.0000


# 11
Ac5TlIr2 | PBE | relaxed

Results
Calculated total energy in eV/atom: -5.5904
M_tot in μB/cell: 0.00
Calculated formation energy in eV per atom: -0.51

Unit cell a=9.5811 b=9.5811 c=9.5811 alpha=127.86 beta=127.86 gamma=76.86
Positions (direct):
Ac 0.0000 0.0000 0.0000
Ac 0.0305 0.5305 0.8215
Ac 0.2090 0.0305 0.5000
Ac 0.2910 0.7910 0.8215
Ac 0.4695 0.2910 0.5000
Ac 0.5000 0.5000 0.0000
Ac 0.5305 0.7090 0.5000
Ac 0.7090 0.2090 0.1785
Ac 0.7910 0.9695 0.5000
Ac 0.9695 0.4695 0.1785
Tl 0.2500 0.2500 0.0000
Tl 0.7500 0.7500 0.0000
Ir 0.1406 0.3594 0.5000
Ir 0.3594 0.8594 0.2188
Ir 0.6406 0.1406 0.7812
Ir 0.8594 0.6406 0.5000


# 12
Ac5TlIr | PBE | relaxed

Results
Calculated total energy in eV/atom: -4.7817
M_tot in μB/cell: 0.00
Calculated formation energy in eV per atom: -0.24

Unit cell a=7.4867 b=7.4867 c=12.2196 alpha=108.42 beta=108.42 gamma=62.04
Positions (direct):
Ac 0.0361 0.3864 0.6345
Ac 0.0358 0.9642 0.7500
Ac 0.2139 0.5562 0.9657
Ac 0.3864 0.0361 0.1345
Ac 0.4438 0.7861 0.5343
Ac 0.5562 0.2139 0.4657
Ac 0.6136 0.9639 0.8655
Ac 0.7861 0.4438 0.0343
Ac 0.9642 0.0358 0.2500
Ac 0.9639 0.6136 0.3655
Tl 0.4990 0.5010 0.2500
Tl 0.5010 0.4990 0.7500
Ir 0.0000 0.0000 0.0000
Ir 0.0000 0.0000 0.5000


# 13
Ac9TlIr3 | PBE | relaxed

Results
Calculated total energy in eV/atom: -5.4802
M_tot in μB/cell: 0.00
Calculated formation energy in eV per atom: -0.41

Unit cell a=7.4785 b=11.3540 c=12.4518 alpha=90.00 beta=95.95 gamma=90.00
Positions (direct):
Ac 0.0713 0.2500 0.1984
Ac 0.1539 0.5706 0.3784
Ac 0.1539 0.9294 0.3784
Ac 0.1990 0.2500 0.8488
Ac 0.2494 0.5556 0.0422
Ac 0.2494 0.9444 0.0422
Ac 0.3579 0.5677 0.7045
Ac 0.3579 0.9323 0.7045
Ac 0.3586 0.2500 0.5257
Ac 0.6414 0.7500 0.4743
Ac 0.6421 0.0677 0.2955
Ac 0.6421 0.4323 0.2955
Ac 0.7506 0.0556 0.9578
Ac 0.7506 0.4444 0.9578
Ac 0.8010 0.7500 0.1512
Ac 0.8461 0.0706 0.6216
Ac 0.8461 0.4294 0.6216
Ac 0.9287 0.7500 0.8016
Tl 0.4757 0.2500 0.0865
Tl 0.5243 0.7500 0.9135
Ir 0.0543 0.0031 0.8270
Ir 0.0543 0.4969 0.8270
Ir 0.5000 0.0000 0.5000
Ir 0.5000 0.5000 0.5000
Ir 0.9457 0.5031 0.1730
Ir 0.9457 0.9969 0.1730


# 14
Ac12Tl5Ir2 | PBE | relaxed

Results
Calculated total energy in eV/atom: -4.4109
M_tot in μB/cell: 0.00
Calculated formation energy in eV per atom: -0.26

Unit cell a=10.2309 b=10.2309 c=10.4769 alpha=105.11 beta=105.11 gamma=50.25
Positions (direct):
Ac 0.0010 0.0010 0.2948
Ac 0.0742 0.5952 0.4011
Ac 0.1015 0.6050 0.9290
Ac 0.3950 0.8985 0.0710
Ac 0.4048 0.9258 0.5989
Ac 0.4833 0.4833 0.6782
Ac 0.5167 0.5167 0.3218
Ac 0.5952 0.0742 0.4011
Ac 0.6050 0.1015 0.9290
Ac 0.8985 0.3950 0.0710
Ac 0.9258 0.4048 0.5989
Ac 0.9990 0.9990 0.7052
Tl 0.1911 0.1911 0.3429
Tl 0.2036 0.2036 0.8714
Tl 0.5000 0.5000 0.0000
Tl 0.7964 0.7964 0.1286
Tl 0.8089 0.8089 0.6571
Ir 0.2446 0.7554 0.5000
Ir 0.7554 0.2446 0.5000


# 15
Ac2TlIr | PBE | relaxed

Results
Calculated total energy in eV/atom: -5.3718
Relative energy among the computed polymorphs in meV/atom: 18
M_tot in μB/cell: 0.00
Calculated formation energy in eV per atom: -0.51

Unit cell a=4.3394 b=4.3394 c=25.8207 alpha=90.00 beta=90.00 gamma=120.00
Positions (direct):
Ac 0.0000 0.0000 0.0000
Ac 0.0000 0.0000 0.2070
Ac 0.3333 0.6667 0.6667
Ac 0.3333 0.6667 0.8737
Ac 0.6667 0.3333 0.3333
Ac 0.6667 0.3333 0.5403
Tl 0.0000 0.0000 0.4366
Tl 0.3333 0.6667 0.1033
Tl 0.6667 0.3333 0.7699
Ir 0.0000 0.0000 0.6033
Ir 0.3333 0.6667 0.2700
Ir 0.6667 0.3333 0.9366


# 16
Ac6TlIr2 | PBE | relaxed

Results
Calculated total energy in eV/atom: -5.3581
Relative energy among the computed polymorphs in meV/atom: 32
M_tot in μB/cell: 0.00
Calculated formation energy in eV per atom: -0.39

Unit cell a=9.4047 b=9.4047 c=8.2190 alpha=102.62 beta=102.62 gamma=69.48
Positions (direct):
Ac 0.1272 0.1269 0.3134
Ac 0.1269 0.1272 0.8134
Ac 0.1730 0.5380 0.9271
Ac 0.1748 0.5372 0.4286
Ac 0.4620 0.8270 0.5729
Ac 0.4628 0.8252 0.0714
Ac 0.5372 0.1748 0.9286
Ac 0.5380 0.1730 0.4271
Ac 0.8252 0.4628 0.5714
Ac 0.8270 0.4620 0.0729
Ac 0.8731 0.8728 0.1866
Ac 0.8728 0.8731 0.6866
Tl 0.4991 0.5009 0.2500
Tl 0.5009 0.4991 0.7500
Ir 0.2663 0.2715 0.1343
Ir 0.2715 0.2663 0.6343
Ir 0.7285 0.7337 0.3657
Ir 0.7337 0.7285 0.8657


# 17
AcTlIr | PBE | relaxed

Results
Calculated total energy in eV/atom: -5.3361
Relative energy among the computed polymorphs in meV/atom: 234
M_tot in μB/cell: 0.00
Calculated formation energy in eV per atom: -0.22

Unit cell a=8.1798 b=4.7234 c=9.7027 alpha=90.00 beta=106.33 gamma=90.00
Positions (direct):
Ac 0.2487 0.0000 0.2450
Ac 0.2513 0.5000 0.7550
Ac 0.7487 0.5000 0.2450
Ac 0.7513 0.0000 0.7550
Tl 0.0000 0.0000 0.5000
Tl 0.0000 0.5000 0.0000
Tl 0.5000 0.0000 0.0000
Tl 0.5000 0.5000 0.5000
Ir 0.1393 0.0000 0.9178
Ir 0.3607 0.5000 0.0822
Ir 0.6393 0.5000 0.9178
Ir 0.8607 0.0000 0.0822


# 18
AcTlIr | PBE | relaxed

Results
Calculated total energy in eV/atom: -5.4321
Relative energy among the computed polymorphs in meV/atom: 138
M_tot in μB/cell: 0.00
Calculated formation energy in eV per atom: -0.32

Unit cell a=7.0356 b=7.0356 c=7.0356 alpha=90.00 beta=90.00 gamma=90.00
Positions (direct):
Ac 0.0000 0.0000 0.0000
Ac 0.0000 0.5000 0.5000
Ac 0.5000 0.0000 0.5000
Ac 0.5000 0.5000 0.0000
Tl 0.0000 0.0000 0.5000
Tl 0.0000 0.5000 0.0000
Tl 0.5000 0.0000 0.0000
Tl 0.5000 0.5000 0.5000
Ir 0.2500 0.2500 0.2500
Ir 0.2500 0.7500 0.7500
Ir 0.7500 0.2500 0.7500
Ir 0.7500 0.7500 0.2500